{"formula": "CdAg6F8", "functional": "PBE-GGA", "state": "relaxed", "lattice_angstrom": [[6.2472, 0.2587, 2.2466], [1.6634, 6.0273, 2.2466], [0.3255, 0.2587, 6.6309]], "species": ["Cd", "Ag", "Ag", "Ag", "Ag", "Ag", "Ag", "F", "F", "F", "F", "F", "F", "F", "F"], "frac_coords": [[0.0000, 0.0000, 0.0000], [0.0756, 0.5034, 0.6733], [0.3267, 0.9244, 0.4966], [0.4966, 0.3267, 0.9244], [0.5034, 0.6733, 0.0756], [0.6733, 0.0756, 0.5034], [0.9244, 0.4966, 0.3267], [0.1782, 0.6888, 0.8647], [0.1353, 0.8218, 0.3112], [0.3112, 0.1353, 0.8218], [0.6876, 0.6876, 0.6876], [0.3124, 0.3124, 0.3124], [0.6888, 0.8647, 0.1782], [0.8647, 0.1782, 0.6888], [0.8218, 0.3112, 0.1353]], "sg": "R-3, No. 148", "crystal_system": "trigonal", "formation_energy_uncorrected_ev_per_fu": -17.62, "e_tot_ev_per_fu": -50.6}

---

{"formula": "TlSnHg", "functional": "PBE-GGA", "state": "relaxed", "lattice_angstrom": [[-4.1448, -0.7639, 0.9399], [-1.5953, -3.9612, -0.4547], [0.8272, -1.7549, 12.3825]], "species": ["Tl", "Tl", "Sn", "Sn", "Hg", "Hg"], "frac_coords": [[0.9974, 0.2726, 0.5503], [0.3343, 0.1035, 0.0312], [0.5402, 0.0006, 0.7269], [0.7900, 0.3758, 0.8548], [0.7810, 0.8801, 0.3694], [0.5505, 0.4956, 0.2122]], "sg": "C2/m, No. 12", "crystal_system": "monoclinic", "formation_enthalpy_0k_kj_per_mol_atoms": 4.1, "e_tot_ev_per_fu": -6.5, "de_polymorph_mev_per_atom": 4}

---

{"formula": "Sr2Ga2Sb", "functional": "PBE-GGA", "state": "relaxed", "lattice_angstrom": [[-6.4255, -2.9086, 6.0313], [2.2628, -8.8104, -1.8382], [2.5555, 0.0802, 2.7612]], "species": ["Sb", "Sb", "Ga", "Ga", "Ga", "Ga", "Sr", "Sr", "Sr", "Sr"], "frac_coords": [[0.0000, 0.0000, 0.0000], [0.5000, 0.5000, 0.0000], [0.0940, 0.5940, 0.5000], [0.5940, 0.9060, 0.5000], [0.9060, 0.4060, 0.5000], [0.4060, 0.0940, 0.5000], [0.2999, 0.7999, 0.0000], [0.7999, 0.7001, 0.0000], [0.7001, 0.2001, 0.0000], [0.2001, 0.2999, 0.0000]], "sg": "P4/mbm, No. 127", "crystal_system": "tetragonal", "formation_energy_uncorrected_ev_per_fu": -1.08, "e_tot_ev_per_fu": -14.6, "de_polymorph_mev_per_atom": 303}

---

{"formula": "PuSiRh2", "functional": "PBE-GGA", "state": "relaxed", "lattice_angstrom": [[-0.0975, 3.8943, -1.1468], [-2.7063, -1.5070, -4.8874], [-5.3646, 0.6787, 2.7612]], "species": ["Pu", "Pu", "Si", "Si", "Rh", "Rh", "Rh", "Rh"], "frac_coords": [[0.0000, 0.0000, 0.3843], [0.5000, 0.5000, 0.6157], [0.0000, 0.5000, 0.1616], [0.5000, 0.0000, 0.8384], [0.0000, 0.2376, 0.8407], [0.0000, 0.7624, 0.8407], [0.5000, 0.2624, 0.1593], [0.5000, 0.7376, 0.1593]], "sg": "Pmmn, No. 59", "crystal_system": "orthorhombic", "formation_energy_uncorrected_ev_per_fu": -2.70, "e_tot_ev_per_fu": -37.2}

---

{"formula": "Ga2GePb2", "functional": "PBE-GGA", "state": "relaxed", "lattice_angstrom": [[4.7366, 0.0000, 0.0000], [0.0000, 4.7366, 0.0000], [2.3683, 2.3683, 6.0581]], "species": ["Pb", "Pb", "Ge", "Ga", "Ga"], "frac_coords": [[0.7500, 0.2500, 0.5000], [0.2500, 0.7500, 0.5000], [0.0000, 0.0000, 0.0000], [0.4000, 0.4000, 0.2000], [0.6000, 0.6000, 0.8000]], "sg": "I4/mmm, No. 139", "crystal_system": "tetragonal", "formation_enthalpy_0k_kj_per_mol_atoms": 34.9, "e_tot_ev_per_fu": -16.3, "de_polymorph_mev_per_atom": 261}

---

{"formula": "LiPmAu4", "functional": "PBE-GGA", "state": "relaxed", "lattice_angstrom": [[5.5881, 0.0000, 0.0000], [2.7941, 4.8395, 0.0000], [2.7941, 1.6132, 4.5627]], "species": ["Li", "Au", "Au", "Au", "Au", "Pm"], "frac_coords": [[0.2500, 0.2500, 0.2500], [0.6243, 0.6243, 0.1270], [0.6243, 0.1270, 0.6243], [0.6243, 0.6243, 0.6243], [0.1270, 0.6243, 0.6243], [0.0000, 0.0000, 0.0000]], "sg": "F-43m, No. 216", "crystal_system": "cubic", "formation_enthalpy_0k_kj_per_mol_atoms": -47.9, "e_tot_ev_per_fu": -22.8, "de_polymorph_mev_per_atom": 52}

---

{"formula": "Mn2CuHg", "functional": "PBE-GGA", "state": "relaxed", "lattice_angstrom": [[9.0443, -0.0552, -0.0324], [8.6071, 2.7785, -0.0324], [8.6071, 1.3280, 2.4409]], "species": ["Cu", "Hg", "Mn", "Mn"], "frac_coords": [[0.5066, 0.5066, 0.5066], [0.7516, 0.7516, 0.7516], [0.9931, 0.9931, 0.9931], [0.2487, 0.2487, 0.2487]], "sg": "R3m, No. 160", "crystal_system": "trigonal", "formation_enthalpy_0k_kj_per_mol_atoms": 38.6, "e_tot_ev_per_fu": -21.1}

---

{"formula": "LaAl8Cr4", "functional": "PBE-GGA", "state": "relaxed", "lattice_angstrom": [[6.8851, 0.0021, 0.0000], [-5.0368, 4.6942, 0.0000], [-0.9241, -2.3481, 6.4060]], "species": ["Al", "Al", "Al", "Al", "Al", "Al", "Al", "Al", "Cr", "Cr", "Cr", "Cr", "La"], "frac_coords": [[0.6576, 0.0000, 0.6576], [0.3424, 0.0000, 0.3424], [0.0000, 0.3424, 0.3424], [0.0000, 0.6576, 0.6576], [0.7287, 0.5000, 0.2287], [0.2713, 0.5000, 0.7713], [0.5000, 0.2713, 0.7713], [0.5000, 0.7287, 0.2287], [0.0000, 0.5000, 0.0000], [0.5000, 0.0000, 0.0000], [0.5000, 0.5000, 0.5000], [0.0000, 0.0000, 0.5000], [0.0000, 0.0000, 0.0000]], "sg": "I4/mmm, No. 139", "crystal_system": "tetragonal", "formation_enthalpy_0k_kj_per_mol_atoms": -18.6, "e_tot_ev_per_fu": -75.9}

---

{"formula": "PmSiTe", "functional": "PBE-GGA", "state": "relaxed", "lattice_angstrom": [[-0.4318, -5.7928, -0.4967], [2.6092, -3.0710, -0.6676], [8.0453, -4.3051, 8.9988]], "species": ["Pm", "Pm", "Si", "Si", "Te", "Te"], "frac_coords": [[0.7314, 0.2274, 0.3098], [0.2686, 0.7726, 0.6902], [0.7046, 0.0220, 0.5688], [0.2954, 0.9780, 0.4312], [0.1267, 0.5882, 0.1585], [0.8733, 0.4118, 0.8415]], "sg": "C2/m, No. 12", "crystal_system": "monoclinic", "formation_energy_uncorrected_ev_per_fu": -1.92, "e_tot_ev_per_fu": -15.2}

---

{"formula": "Na3PRh", "functional": "PBE-GGA", "state": "relaxed", "lattice_angstrom": [[-2.6074, 3.8635, 2.4938], [-4.0374, -0.5512, -3.3674], [-2.2011, -3.5657, 3.2227]], "species": ["P", "Rh", "Na", "Na", "Na"], "frac_coords": [[0.0000, 0.0000, 0.0000], [0.5000, 0.5000, 0.5000], [0.0000, 0.5000, 0.0000], [0.0000, 0.0000, 0.5000], [0.5000, 0.0000, 0.0000]], "sg": "Pm-3m, No. 221", "crystal_system": "cubic", "formation_enthalpy_0k_kj_per_mol_atoms": 63.6, "e_tot_ev_per_fu": -13.4, "de_polymorph_mev_per_atom": 0}

---

{"formula": "CaLa2Tl", "functional": "PBE-GGA", "state": "relaxed", "lattice_angstrom": [[6.2622, 0.0116, 0.0000], [2.2465, 5.8454, 0.0000], [-4.2543, -2.9285, 3.5411]], "species": ["Tl", "Ca", "La", "La"], "frac_coords": [[0.2500, 0.7500, 0.5000], [0.7500, 0.2500, 0.5000], [0.0000, 0.0000, 0.0000], [0.5000, 0.5000, 0.0000]], "sg": "I4/mmm, No. 139", "crystal_system": "tetragonal", "formation_enthalpy_0k_kj_per_mol_atoms": -16.6, "e_tot_ev_per_fu": -14.9, "de_polymorph_mev_per_atom": 26}

---

{"formula": "Th6HOs2Se3", "functional": "PBE-GGA", "state": "relaxed", "lattice_angstrom": [[6.9945, 0.0026, -0.0046], [-3.4933, 6.0597, -0.0046], [-1.1724, -2.0300, 7.3437]], "species": ["Th", "Th", "Th", "Th", "Th", "Th", "H", "Os", "Os", "Se", "Se", "Se"], "frac_coords": [[0.9263, 0.5889, 0.7788], [0.7360, 0.7360, 0.2243], [0.0737, 0.4111, 0.2212], [0.5889, 0.9263, 0.7788], [0.2640, 0.2640, 0.7757], [0.4111, 0.0737, 0.2212], [0.0000, 0.0000, 0.0000], [0.3338, 0.6662, 0.0000], [0.6662, 0.3338, 0.0000], [0.1684, 0.8316, 0.5000], [0.8316, 0.1684, 0.5000], [0.5000, 0.5000, 0.5000]], "sg": "C2/m, No. 12", "crystal_system": "monoclinic", "e_tot_ev_per_fu": -91.9}

---

Number 1: M_tot 0.00 μB per formula unit. Number 2: M_tot 0.00 μB per formula unit. Number 3: M_tot 0.00 μB per formula unit. Number 4: M_tot 5.15 μB per formula unit. Number 5: M_tot 0.00 μB per formula unit. Number 6: M_tot 0.00 μB per formula unit. Number 7: M_tot 6.87 μB per formula unit. Number 8: M_tot 3.06 μB per formula unit. Number 9: M_tot 0.00 μB per formula unit. Number 10: M_tot 1.27 μB per formula unit. Number 11: M_tot 0.00 μB per formula unit. Number 12: M_tot 0.00 μB per formula unit.